## CaCdIn2 (GGA-PBEsol)

Data for crystalline CaCdIn2 at its relaxed geometry.

The structure in CIF format:
```
data_CaCdIn2
_chemical_formula_sum 'Ca1 Cd1 In2'
_space_group_name_H-M_alt 'P 4/m m m'
_space_group_IT_number 123
_space_group_name_Hall '-P 4 2'
_cell_length_a 4.5891
_cell_length_b 4.5891
_cell_length_c 4.5698
_cell_angle_alpha 90.00
_cell_angle_beta 90.00
_cell_angle_gamma 90.00
loop_
_atom_site_label
_atom_site_type_symbol
_atom_site_fract_x
_atom_site_fract_y
_atom_site_fract_z
Ca1 Ca 0.0000 0.0000 0.0000
Cd1 Cd 0.5000 0.5000 0.0000
In1 In 0.0000 0.5000 0.5000
```

Results
- Formation energy: -0.33 eV/atom
- Theoretical density: 6.593 g/cm3